# ZrMnIF2 | the Alexandria database | PBE+U | optimized geometry
# Magnetic moment   4.235 μB per cell
# Final energy   -0.2158 Ha/atom
data_ZrMnIF2
_chemical_formula_sum 'Zr1 Mn1 I1 F2'
_cell_length_a 4.2624
_cell_length_b 4.2624
_cell_length_c 6.1006
_cell_angle_alpha 90.00
_cell_angle_beta 90.00
_cell_angle_gamma 90.00
_space_group_name_H-M_alt 'P 4/m m m'
_space_group_IT_number 123
_space_group_name_Hall '-P 4 2'
loop_
_atom_site_label
_atom_site_type_symbol
_atom_site_fract_x
_atom_site_fract_y
_atom_site_fract_z
Zr1 Zr 0.0000 0.0000 0.0000
Mn1 Mn 0.0000 0.0000 0.5000
I1 I 0.5000 0.5000 0.5000
F1 F 0.0000 0.5000 0.0000